CrNO: optimized geometry, PBE+U.

```
data_CrNO
_cell_length_a 3.6398
_cell_length_b 3.8281
_cell_length_c 4.8262
_cell_angle_alpha 90.00
_cell_angle_beta 90.00
_cell_angle_gamma 90.00
_space_group_name_H-M_alt 'A m m 2'
_space_group_IT_number 38
loop_
_space_group_symop_operation_xyz
'x,y,z'
'-x,-y,z'
'-x,y,z'
'x,-y,z'
'x,y+1/2,z+1/2'
'-x,-y+1/2,z+1/2'
'-x,y+1/2,z+1/2'
'x,-y+1/2,z+1/2'
loop_
_atom_site_label
_atom_site_fract_x
_atom_site_fract_y
_atom_site_fract_z
Cr1 0.0000 0.0000 0.0000
N1 0.0000 0.0000 0.3844
O1 0.5000 0.0000 0.9556
```

Properties
Size of the total moment (μB per atom): 0.333
Energy above the most stable polymorph in this dataset (meV per atom): 815
Raw total energy (eV/atom): -7.061